! Sr4MnPb | Alexandria via LeMat-Bulk | PBE-GGA | relaxed; values from VASP
&SYSTEM
  ibrav = 0, nat = 6, ntyp = 3
/
ATOMIC_SPECIES
Sr 87.62 Sr.upf
Mn 54.94 Mn.upf
Pb 207.20 Pb.upf
CELL_PARAMETERS angstrom
0.0000 5.0101 5.0101
5.0101 0.0000 5.0101
5.0101 5.0101 0.0000
ATOMIC_POSITIONS crystal
Sr 0.1251 0.1251 0.1251
Sr 0.1251 0.1251 0.6247
Sr 0.1251 0.6247 0.1251
Sr 0.6247 0.1251 0.1251
Mn 0.7500 0.7500 0.7500
Pb 0.5000 0.5000 0.5000
! Calculated formation energy = 0.605 eV per atom
! Symmetry = F-43m (216)
! Calculated volume = 251.5 Å³/cell

! CaBeBr2 | Alexandria via LeMat-Bulk | PBE-GGA | relaxed; values from VASP
&SYSTEM
  ibrav = 0, nat = 4, ntyp = 3
/
ATOMIC_SPECIES
Ca 40.08 Ca.upf
Be 9.01 Be.upf
Br 79.90 Br.upf
CELL_PARAMETERS angstrom
3.5801 -1.8561 0.0000
3.5801 1.8561 0.0000
-3.3993 0.0000 9.1650
ATOMIC_POSITIONS crystal
Ca 0.0000 0.0000 0.0000
Be 0.5329 0.5329 0.7581
Br 0.4102 0.4102 0.1909
Br 0.9246 0.9246 0.6146
! Formation energy (no corrections) = -0.799 eV/atom
! Distance to the lowest polymorph of the same formula = 0.0 meV/atom
! Symmetry = Cm (8)
! Calculated volume = 121.8 Å³/cell

! Cs2RbAg | Alexandria via LeMat-Bulk | PBE-GGA | relaxed; values from VASP
&SYSTEM
  ibrav = 0, nat = 8, ntyp = 3
/
ATOMIC_SPECIES
Cs 132.91 Cs.upf
Rb 85.47 Rb.upf
Ag 107.87 Ag.upf
CELL_PARAMETERS angstrom
-6.5453 6.5453 3.7154
6.5453 -6.5453 3.7154
6.5453 6.5453 -3.7154
ATOMIC_POSITIONS crystal
Cs 0.3750 0.0036 0.1286
Cs 0.7536 0.6250 0.6286
Cs 0.8750 0.2464 0.8714
Cs 0.9964 0.1250 0.3714
Rb 0.2500 0.7500 0.5000
Rb 0.5000 0.5000 0.0000
Ag 0.0000 0.0000 0.0000
Ag 0.7500 0.2500 0.5000
! Distance to the lowest polymorph of the same formula = 49.5 meV/atom
! Calculated formation energy = 0.081 eV per atom
! Symmetry = I-42d (122)
! Calculated volume = 636.7 Å³/cell

! HfTaTcRu | Alexandria via LeMat-Bulk | PBE-GGA | relaxed; values from VASP
&SYSTEM
  ibrav = 0, nat = 4, ntyp = 4
/
ATOMIC_SPECIES
Hf 178.49 Hf.upf
Ta 180.95 Ta.upf
Tc 98.00 Tc.upf
Ru 101.07 Ru.upf
CELL_PARAMETERS angstrom
3.2125 0.0000 0.0000
0.0000 3.2125 0.0000
0.0000 0.0000 6.4416
ATOMIC_POSITIONS crystal
Hf 0.0000 0.0000 0.0000
Ta 0.0000 0.0000 0.4946
Tc 0.5000 0.5000 0.2581
Ru 0.5000 0.5000 0.7429
! Calculated formation energy = -0.602 eV per atom
! Symmetry = P4mm (99)
! Calculated volume = 66.5 Å³/cell

Number 1: electronic total energy -0.1957 Ry/atom. Number 2: electronic total energy -0.2255 Ry/atom. Number 3: electronic total energy -0.0956 Ry/atom. Number 4: electronic total energy -0.8059 Ry/atom.